(1)
Computed, not measured: CaBePO4F at its PBEsol-relaxed geometry at the SCAN level of DFT.

```
CaBePO4F
1.0
4.7353 0.0000 0.0000
0.0000 7.6607 0.0000
-0.1788 0.0000 9.7288
Ca Be P O F
4 4 4 16 4
direct
0.0034 0.1112 0.1700 Ca
0.0034 0.3888 0.6700 Ca
0.9966 0.6112 0.3300 Ca
0.9966 0.8888 0.8300 Ca
0.4552 0.0862 0.6622 Be
0.4552 0.4138 0.1622 Be
0.5448 0.5862 0.8378 Be
0.5448 0.9138 0.3378 Be
0.4756 0.7281 0.5808 P
0.4756 0.7719 0.0808 P
0.5244 0.2281 0.9192 P
0.5244 0.2719 0.4192 P
0.2450 0.5990 0.5390 O
0.2450 0.9010 0.0390 O
0.3158 0.1535 0.8071 O
0.3158 0.3465 0.3071 O
0.3379 0.6086 0.1468 O
0.3379 0.8914 0.6468 O
0.3467 0.2182 0.5443 O
0.3467 0.2818 0.0443 O
0.6533 0.7182 0.9557 O
0.6533 0.7818 0.4557 O
0.6621 0.1086 0.3532 O
0.6621 0.3914 0.8532 O
0.6842 0.6535 0.6929 O
0.6842 0.8465 0.1929 O
0.7550 0.0990 0.9610 O
0.7550 0.4010 0.4610 O
0.2139 0.5936 0.8249 F
0.2139 0.9064 0.3249 F
0.7861 0.0936 0.6751 F
0.7861 0.4064 0.1751 F
```

Results
- E_form (uncorrected): -3.202 eV/atom
- Total energy: -314.00 eV per cell
- Density of states at the Fermi level: 0.0 states/eV/cell
- Total moment: 0.00 μB per cell


(2)
Computed, not measured: SrScPb at its PBEsol-relaxed geometry at the SCAN level of DFT.

```
SrScPb
1.0
3.5625 0.0000 0.0000
0.0000 4.2977 0.0000
0.0000 0.0000 11.9908
Sr Sc Pb
2 2 2
direct
0.0000 0.0000 0.0000 Sr
0.5000 0.5000 0.5000 Sr
0.0000 0.0000 0.2852 Sc
0.5000 0.5000 0.7852 Sc
0.0000 0.0000 0.6896 Pb
0.5000 0.5000 0.1896 Pb
```

Results
- Total energy: -226.67 eV per cell
- DFT formation energy: -348 meV/atom
- Density of states at the Fermi level: 6.2 states/eV/cell
- Total moment: 0.59 μB per cell


(3)
Computed, not measured: TeWS2 at its PBEsol-relaxed geometry at the SCAN level of DFT.

```
TeWS2
1.0
3.1664 0.0000 0.0000
-1.5832 2.7422 0.0000
0.0000 0.0000 26.6227
Te W S
3 3 6
direct
0.0000 0.0000 0.0000 Te
0.3333 0.6667 0.6667 Te
0.6667 0.3333 0.3333 Te
0.0000 0.0000 0.5000 W
0.3333 0.6667 0.1667 W
0.6667 0.3333 0.8333 W
0.0000 0.0000 0.4162 S
0.0000 0.0000 0.5838 S
0.3333 0.6667 0.0828 S
0.3333 0.6667 0.2505 S
0.6667 0.3333 0.7495 S
0.6667 0.3333 0.9172 S
```

Results
- E_form (uncorrected): 0.748 eV/atom
- Total energy: -369.62 eV per cell
- Density of states at the Fermi level: 9.1 states/eV/cell
- Total moment: 0.00 μB per cell


(4)
Computed, not measured: TeP at its PBEsol-relaxed geometry at the SCAN level of DFT.

```
TeP
1.0
3.5627 0.0000 0.0000
0.0000 3.5599 0.0000
0.0000 0.0000 7.7433
Te P
2 2
direct
0.2500 0.0000 0.2327 Te
0.7500 0.0000 0.7673 Te
0.2500 0.5000 0.6277 P
0.7500 0.5000 0.3723 P
```

Results
- E_form (uncorrected): 0.436 eV/atom
- Total energy: -93.55 eV per cell
- Density of states at the Fermi level: 1.4 states/eV/cell
- Total moment: 0.00 μB per cell


(5)
Computed, not measured: TlGe2SeS at its PBEsol-relaxed geometry at the SCAN level of DFT.

```
TlGe2SeS
1.0
5.3797 0.0000 0.0000
0.0000 5.3797 0.0000
0.0000 0.0000 5.0259
Tl Ge Se S
1 2 1 1
direct
0.0000 0.0000 0.0000 Tl
0.0000 0.5000 0.0000 Ge
0.5000 0.0000 0.0000 Ge
0.0000 0.0000 0.5000 Se
0.5000 0.5000 0.5000 S
```

Results
- E_form (uncorrected): 1.144 eV/atom
- Total energy: -134.52 eV per cell
- Density of states at the Fermi level: 4.3 states/eV/cell
- Total moment: 0.00 μB per cell


(6)
Computed, not measured: BaRuCl2 at its PBEsol-relaxed geometry at the SCAN level of DFT.

```
BaRuCl2
1.0
6.6587 0.0000 0.0000
0.0000 8.7067 0.0000
-1.7806 0.0000 3.4053
Ba Ru Cl
2 2 4
direct
0.0000 0.0000 0.0000 Ba
0.5000 0.5000 0.0000 Ba
0.0000 0.5000 0.0000 Ru
0.5000 0.0000 0.0000 Ru
0.2500 0.2500 0.5000 Cl
0.2500 0.7500 0.5000 Cl
0.7500 0.2500 0.5000 Cl
0.7500 0.7500 0.5000 Cl
```

Results
- E_form (uncorrected): -0.599 eV/atom
- Total energy: -185.45 eV per cell
- Density of states at the Fermi level: 4.9 states/eV/cell
- Total moment: 4.04 μB per cell


(7)
Computed, not measured: KMo3P2O14 at its PBEsol-relaxed geometry at the SCAN level of DFT.

```
KMo3P2O14
1.0
8.7269 0.0000 0.0000
0.0000 6.4026 0.0000
-3.9338 0.0000 9.8787
K Mo P O
2 6 4 28
direct
0.0090 0.2500 0.2453 K
0.9910 0.7500 0.7547 K
0.2550 0.7500 0.1710 Mo
0.2645 0.7500 0.4880 Mo
0.3443 0.2500 0.8828 Mo
0.6557 0.7500 0.1172 Mo
0.7355 0.2500 0.5120 Mo
0.7450 0.2500 0.8290 Mo
0.3542 0.2500 0.5668 P
0.3901 0.2500 0.2030 P
0.6099 0.7500 0.7970 P
0.6458 0.7500 0.4332 P
0.0866 0.7500 0.0293 O
0.1133 0.7500 0.5487 O
0.1515 0.7500 0.3012 O
0.2273 0.0351 0.8740 O
0.2273 0.4649 0.8740 O
0.2785 0.0596 0.1939 O
0.2785 0.4404 0.1939 O
0.2834 0.0587 0.4750 O
0.2834 0.4413 0.4750 O
0.2906 0.2500 0.6828 O
0.4323 0.7500 0.1129 O
0.4540 0.2500 0.0855 O
0.4568 0.7500 0.3830 O
0.4608 0.7500 0.6625 O
0.5392 0.2500 0.3375 O
0.5432 0.2500 0.6170 O
0.5460 0.7500 0.9145 O
0.5677 0.2500 0.8871 O
0.7094 0.7500 0.3172 O
0.7166 0.5587 0.5250 O
0.7166 0.9413 0.5250 O
0.7215 0.5596 0.8061 O
0.7215 0.9404 0.8061 O
0.7727 0.5351 0.1260 O
0.7727 0.9649 0.1260 O
0.8485 0.2500 0.6988 O
0.8867 0.2500 0.4513 O
0.9134 0.2500 0.9707 O
```

Results
- E_form (uncorrected): -2.288 eV/atom
- Total energy: -533.55 eV per cell
- Total moment: 2.00 μB per cell


(8)
Computed, not measured: AgSb2Os at its PBEsol-relaxed geometry at the SCAN level of DFT.

```
AgSb2Os
1.0
3.1695 0.0000 0.0000
0.0000 4.2409 0.0000
0.0000 0.0000 5.7486
Ag Sb Os
1 2 1
direct
0.0000 0.0000 0.0000 Ag
0.0000 0.0000 0.4656 Sb
0.5000 0.5000 0.8336 Sb
0.5000 0.5000 0.3107 Os
```

Results
- E_form (uncorrected): 0.516 eV/atom
- Total energy: -175.71 eV per cell
- Density of states at the Fermi level: 1.9 states/eV/cell
- Total moment: 0.00 μB per cell


Repeat the second record exactly.
Computed, not measured: SrScPb at its PBEsol-relaxed geometry at the SCAN level of DFT.

```
SrScPb
1.0
3.5625 0.0000 0.0000
0.0000 4.2977 0.0000
0.0000 0.0000 11.9908
Sr Sc Pb
2 2 2
direct
0.0000 0.0000 0.0000 Sr
0.5000 0.5000 0.5000 Sr
0.0000 0.0000 0.2852 Sc
0.5000 0.5000 0.7852 Sc
0.0000 0.0000 0.6896 Pb
0.5000 0.5000 0.1896 Pb
```

Results
- Total energy: -226.67 eV per cell
- DFT formation energy: -348 meV/atom
- Density of states at the Fermi level: 6.2 states/eV/cell
- Total moment: 0.59 μB per cell